Material: RbCdCo2Br8
Method: DFT, PBE
State: optimized geometry

```
12
Lattice="6.782 0.000 0.000 3.391 5.874 0.000 3.391 1.958 9.967" Properties=species:S:1:pos:R:3 pbc="T T T"
Br 7.890 1.971 8.295
Br 5.674 5.861 1.672
Br 3.391 1.958 4.712
Br 7.913 5.848 8.295
Br 4.544 3.929 8.295
Br 5.652 1.984 1.672
Br 10.174 5.874 5.255
Br 9.021 3.903 1.672
Rb 6.782 3.916 4.984
Co 10.174 5.874 7.580
Co 3.391 1.958 2.387
Cd 0.000 0.000 0.000
```

## Properties
SG: No. 148
Uncorrected formation energy (eV per atom): -0.656

Material: Tm12Mn5C15
Method: DFT, PBE
State: optimized geometry

```
32
Lattice="-2.472 -1.864 3.870 -4.321 -7.090 -6.174 8.966 -2.043 4.742" Properties=species:S:1:pos:R:3 pbc="T T T"
C -2.611 -6.429 -1.590
C -1.411 -2.315 -2.016
C 0.945 -1.858 -0.291
C -0.769 -4.864 0.339
C -1.978 -3.246 -2.826
C 3.723 -6.310 2.512
C 2.519 -4.952 -0.776
C 1.801 -3.888 2.451
C 7.141 -1.628 3.777
C -0.003 -7.726 -0.549
C -3.441 -5.647 -4.917
C 4.104 -0.935 2.171
C 2.928 -0.667 1.548
C 3.128 -6.151 -0.964
C 4.380 -3.774 4.153
Mn 3.931 -7.729 -1.212
Mn 1.379 -0.314 0.729
Mn 3.301 -4.657 3.038
Mn -0.664 -1.090 -0.949
Mn -1.128 -6.340 -0.600
Tm -1.491 -5.566 -3.633
Tm 4.941 -5.529 0.493
Tm 5.753 -2.814 2.319
Tm -0.279 -2.814 1.640
Tm 5.882 -2.554 5.700
Tm 1.399 -6.111 1.123
Tm 2.917 -2.834 0.498
Tm -4.666 -6.561 -2.966
Tm 0.444 -3.773 -1.534
Tm 1.372 -6.885 -2.439
Tm 2.645 -1.816 3.988
Tm -3.106 -4.001 -0.737
```

## Properties
Formation enthalpy at 0 K (kJ/mol of atoms): -37.3
SG: No. 189

Material: K3TbNd2O6
Method: DFT, PBE
State: optimized geometry

```
12
Lattice="-3.609 3.018 4.090 1.994 -5.770 1.265 5.669 3.297 0.987" Properties=species:S:1:pos:R:3 pbc="T T T"
O -0.200 1.431 1.853
O 2.435 1.968 5.406
O 4.253 -0.885 4.489
O -0.122 -1.409 4.140
O 1.619 -1.422 0.936
O 4.175 1.955 2.202
K 2.027 0.273 3.171
K 3.904 -2.672 2.224
K 0.149 3.218 4.118
Nd 0.126 -2.841 2.206
Nd -1.742 0.089 3.148
Tb 0.000 0.000 0.000
```

## Properties
SG: No. 12
Uncorrected formation energy (eV per atom): -2.652

Material: Pr4TmTh3
Method: DFT, PBE
State: optimized geometry

```
16
Lattice="5.100 0.000 0.000 0.000 10.379 0.000 0.000 0.000 10.229" Properties=species:S:1:pos:R:3 pbc="T T T"
Pr 2.878 8.960 7.668
Pr 2.879 1.380 0.000
Pr 0.328 1.419 7.675
Pr 0.328 8.933 0.000
Pr 2.878 1.447 5.114
Pr 2.878 8.960 2.561
Pr 0.329 8.999 5.114
Pr 0.328 1.419 2.554
Th 0.329 3.979 5.114
Th 2.878 3.986 2.578
Th 0.328 6.393 7.692
Th 2.879 6.400 0.000
Th 2.878 3.986 7.651
Th 0.328 6.393 2.537
Tm 0.329 3.983 0.000
Tm 2.879 6.396 5.114
```

## Properties
Formation enthalpy at 0 K (kJ/mol of atoms): 3.3
SG: No. 59

Material: AgHg2Pd
Method: DFT, PBE
State: optimized geometry

```
8
Lattice="7.622 0.000 0.000 0.000 7.622 0.000 3.811 3.811 2.894" Properties=species:S:1:pos:R:3 pbc="T T T"
Pd 3.811 7.622 1.447
Pd 3.811 3.811 0.000
Hg 5.717 5.787 2.170
Hg 5.647 1.906 0.723
Hg 1.976 5.717 0.723
Hg 9.528 9.458 2.170
Ag 7.622 3.811 1.447
Ag 0.000 0.000 0.000
```

## Properties
Formation enthalpy at 0 K (kJ/mol of atoms): 12.4
SG: No. 122
Energy above the most stable polymorph in this dataset (meV/atom): 150

Material: K2PtBr
Method: DFT, PBE
State: optimized geometry

```
4
Lattice="6.000 0.000 0.000 0.000 3.183 0.000 0.000 0.001 6.001" Properties=species:S:1:pos:R:3 pbc="T T T"
K 0.000 0.400 5.251
K 3.000 0.394 2.250
Br 3.000 1.994 5.252
Pt 6.000 1.989 2.249
```

## Properties
SG: No. 99
Uncorrected formation energy (eV per atom): -0.462
Energy above the most stable polymorph in this dataset (meV/atom): 47

| no. | Fermi-level density of states (states/eV/atom) |
| --- | --- |
| 1 | 1.0085 |
| 2 | 0.3338 |
| 3 | 0.0000 |
| 4 | 1.4659 |
| 5 | 0.3920 |
| 6 | 0.7406 |